[1]
First-principles (PBE) data for crystalline CsK2Sr at its relaxed geometry, as listed in Alexandria via LeMat-Bulk.

a = 17.2515 Å, b = 17.2515 Å, c = 17.2515 Å
α = 15.15°, β = 15.15°, γ = 15.15°
Sites, in units of the cell vectors:
Cs: 0.0000 0.0000 0.0000
K: 0.4178 0.4178 0.4178
K: 0.5822 0.5822 0.5822
Sr: 0.5000 0.5000 0.5000

Computed properties:
Polymorph energy (0 for the lowest one) ... 65 meV/atom
Calculated total energy ... -4.1 eV per formula unit
SG ... No. 166
Magnetic moment ... 0.00 μB per cell
Density of states at the Fermi level ... 4.4 states/eV/cell
Formation energy ... 60 kJ/mol of formula units

[2]
First-principles (PBE) data for crystalline CsK2Sr at its relaxed geometry, as listed in Alexandria via LeMat-Bulk.

a = 16.1052 Å, b = 16.1052 Å, c = 16.1052 Å
α = 16.62°, β = 16.62°, γ = 16.62°
Sites, in units of the cell vectors:
Cs: 0.0000 0.0000 0.0000
K: 0.5768 0.5768 0.5768
K: 0.7568 0.7568 0.7568
Sr: 0.1669 0.1669 0.1669

Computed properties:
Polymorph energy (0 for the lowest one) ... 0 meV/atom
Calculated total energy ... -4.4 eV per formula unit
SG ... No. 160
Magnetic moment ... 0.00 μB per cell
Density of states at the Fermi level ... 4.8 states/eV/cell
Formation energy ... 35 kJ/mol of formula units

[3]
First-principles (PBE) data for crystalline CsK2SrTi at its relaxed geometry, as listed in Alexandria via LeMat-Bulk.

a = 7.0625 Å, b = 7.0625 Å, c = 6.5729 Å
α = 90.00°, β = 90.00°, γ = 90.00°
Sites, in units of the cell vectors:
Cs: 0.0000 0.0000 0.0000
K: 0.0000 0.5000 0.5000
K: 0.5000 0.0000 0.5000
Sr: 0.5000 0.5000 0.0000
Ti: 0.5000 0.5000 0.5000

Computed properties:
Calculated total energy ... -9.1 eV per formula unit
SG ... No. 123
Magnetic moment ... 4.69 μB per cell
Density of states at the Fermi level ... 4.7 states/eV/cell
Formation energy ... 338 kJ/mol of formula units